# 1
First-principles (PBE) data for a relaxed SrHfBi3 crystal, as listed in Alexandria.

Cell: 5.6934 5.6934 5.6934 Å, 90.00 90.00 90.00°
Space group Pm-3m (No. 221)
One atom of each set of equivalent atoms:
Sr 0.0000 0.0000 0.0000 (multiplicity 1)
Hf 0.5000 0.5000 0.5000 (multiplicity 1)
Bi 0.0000 0.5000 0.5000 (multiplicity 3)

Excess energy over the best structure of this formula in the dataset   23.2 kJ per mole of atoms
Energy relative to the elements   -0.16 eV per atom
Calculated volume   36.91 A^3/atom



# 2
First-principles (PBE) data for a relaxed Sr2HfZrBi crystal, as listed in Alexandria.

Cell: 6.1363 6.1363 5.5638 Å, 90.00 90.00 90.00°
Space group P4/mmm (No. 123)
One atom of each set of equivalent atoms:
Sr 0.0000 0.5000 0.0000 (multiplicity 2)
Hf 0.0000 0.0000 0.5000 (multiplicity 1)
Zr 0.5000 0.5000 0.5000 (multiplicity 1)
Bi 0.5000 0.5000 0.0000 (multiplicity 1)

Energy relative to the elements   0.89 eV per atom
Calculated volume   41.90 A^3/atom



# 3
First-principles (PBE) data for a relaxed HfTaBi2 crystal, as listed in Alexandria.

Cell: 3.2528 3.2528 32.6477 Å, 90.00 90.00 120.00°
Space group R-3m (No. 166, hexagonal axes)
One atom of each set of equivalent atoms:
Hf 0.0000 0.0000 0.0000 (multiplicity 3)
Ta 0.0000 0.0000 0.5000 (multiplicity 3)
Bi 0.0000 0.0000 0.4099 (multiplicity 6)

Excess energy over the best structure of this formula in the dataset   26.9 kJ per mole of atoms
Energy relative to the elements   0.56 eV per atom
Calculated volume   24.93 A^3/atom



energy relative to the elements of number 2 (Sr2HfZrBi)?
0.89 eV per atom



Among the records above, which one has the highest calculated volume?
Sr2HfZrBi



What did the second record say?
First-principles (PBE) data for a relaxed Sr2HfZrBi crystal, as listed in Alexandria.

Cell: 6.1363 6.1363 5.5638 Å, 90.00 90.00 90.00°
Space group P4/mmm (No. 123)
One atom of each set of equivalent atoms:
Sr 0.0000 0.5000 0.0000 (multiplicity 2)
Hf 0.0000 0.0000 0.5000 (multiplicity 1)
Zr 0.5000 0.5000 0.5000 (multiplicity 1)
Bi 0.5000 0.5000 0.0000 (multiplicity 1)

Energy relative to the elements   0.89 eV per atom
Calculated volume   41.90 A^3/atom



Look up the energy relative to the elements of the first one.
-0.16 eV per atom